[1]
Entry from the Alexandria database: a relaxed Ta3Mn2 crystal (GGA-PBE).

Unit cell a=5.3442 b=8.9210 c=13.0333 alpha=90.00 beta=90.00 gamma=90.00
Closest atoms and distances in Å follow each position.
Space group Fddd (No. 70, origin choice 2)
Asymmetric unit:
Ta 0.1250 0.1250 0.0150 [16 per cell]  3 Mn 2.49-2.71, 2 Ta 2.63
Ta 0.1250 0.1250 0.6250 [8 per cell]  6 Mn 2.59-2.68
Mn 0.1250 0.1250 0.4264 [16 per cell]  6 Ta 2.49-2.71

Properties
- V (A^3/atom) = 15.534
- calculated total energy (eV/cell) = -427.54
- ΔH_f (0 K) (eV/atom) = 0.091
- relative energy among the computed polymorphs (meV per atom) = 272

[2]
Entry from the Alexandria database: a relaxed Ta3Mn5 crystal (GGA-PBE).

Unit cell a=6.0457 b=8.5267 c=4.2656 alpha=90.00 beta=90.00 gamma=90.00
Closest atoms and distances in Å follow each position.
Space group Cmmm (No. 65)
Asymmetric unit:
Ta 0.0000 0.0000 0.0000 [2 per cell]  8 Mn 2.60-2.61
Ta 0.0000 0.2582 0.5000 [4 per cell]  8 Mn 2.57-2.66
Mn 0.0000 0.5000 0.0000 [2 per cell]  8 Mn 2.61-2.62
Mn 0.2470 0.0000 0.5000 [4 per cell]  6 Ta 2.57-2.66, 2 Mn 2.62
Mn 0.2500 0.2500 0.0000 [4 per cell]  6 Ta 2.61, 2 Mn 2.61

Properties
- V (A^3/atom) = 13.743
- calculated total energy (eV/cell) = -164.62
- ΔH_f (0 K) (eV/atom) = -0.113
- relative energy among the computed polymorphs (meV per atom) = 0

[3]
Entry from the Alexandria database: a relaxed TaMn2 crystal (GGA-PBE).

Unit cell a=5.9780 b=5.9780 c=5.9780 alpha=90.00 beta=90.00 gamma=90.00
Closest atoms and distances in Å follow each position.
Space group Pa-3 (No. 205)
Asymmetric unit:
Ta 0.0000 0.0000 0.0000 [4 per cell]  6 Mn 2.47
Mn 0.1298 0.6298 0.8702 [8 per cell]  3 Ta 2.47, 1 Mn 2.69

Properties
- V (A^3/atom) = 17.803
- calculated total energy (eV/cell) = -106.61
- ΔH_f (0 K) (eV/atom) = 1.180

[4]
Entry from the Alexandria database: a relaxed Ta3Mn4 crystal (GGA-PBE).

Unit cell a=5.3361 b=5.3361 c=4.5488 alpha=90.00 beta=90.00 gamma=120.00
Closest atoms and distances in Å follow each position.
Space group P6/mmm (No. 191)
Asymmetric unit:
Ta 0.0000 0.5000 0.0000 [3 per cell]  4 Ta 2.67, 8 Mn 2.75-2.92
Mn 0.0000 0.0000 0.2584 [2 per cell]  2 Mn 2.20-2.35
Mn 0.3333 0.6667 0.5000 [2 per cell]  6 Ta 2.75

Properties
- V (A^3/atom) = 16.024
- calculated total energy (eV/cell) = -68.60
- ΔH_f (0 K) (eV/atom) = 0.520
- relative energy among the computed polymorphs (meV per atom) = 477

[5]
Entry from the Alexandria database: a relaxed Ta4Mn crystal (GGA-PBE).

Unit cell a=7.6145 b=7.6145 c=6.2615 alpha=90.00 beta=90.00 gamma=90.00
Closest atoms and distances in Å follow each position.
Space group I4_1/amd (No. 141, origin choice 2)
Asymmetric unit:
Ta 0.0000 0.0459 0.2319 [16 per cell]  1 Mn 2.35
Mn 0.0000 0.2500 0.8750 [4 per cell]  4 Ta 2.35

Properties
- V (A^3/atom) = 18.152
- calculated total energy (eV/cell) = -219.20
- ΔH_f (0 K) (eV/atom) = 0.356
- relative energy among the computed polymorphs (meV per atom) = 412

[6]
Entry from the Alexandria database: a relaxed Ta3Mn crystal (GGA-PBE).

Unit cell a=2.9960 b=2.9960 c=26.0875 alpha=90.00 beta=90.00 gamma=120.00
Closest atoms and distances in Å follow each position.
Space group R-3m (No. 166, hexagonal axes)
Asymmetric unit:
Ta 0.0000 0.0000 0.0000 [3 per cell]  12 Ta 2.97-3.00
Ta 0.0000 0.0000 0.2408 [6 per cell]  3 Mn 2.59
Mn 0.0000 0.0000 0.5000 [3 per cell]  6 Ta 2.59

Properties
- V (A^3/atom) = 16.899
- calculated total energy (eV/cell) = -131.66
- ΔH_f (0 K) (eV/atom) = 0.211